Record 1
Here is a relaxed structure of MgSc3O from Alexandria via LeMat-Bulk. Energies are from PBE-GGA.

abc: 5.924 5.924 5.924
angles: 93.99 93.99 93.99
Fractional positions:
Mg  0.000  0.000  0.000
Mg  0.500  0.500  0.500
Sc  0.015  0.250  0.485
Sc  0.250  0.485  0.015
Sc  0.485  0.015  0.250
Sc  0.515  0.985  0.750
Sc  0.750  0.515  0.985
Sc  0.985  0.750  0.515
O  0.250  0.250  0.250
O  0.750  0.750  0.750

Properties
D(E_F): 1.681 states/eV/atom
volume: 206 Å³ per cell
magnetization: 0.0 μB per formula unit

Record 2
Here is a relaxed structure of MgSc3O from Alexandria via LeMat-Bulk. Energies are from PBE-GGA.

abc: 8.115 8.115 6.307
angles: 101.27 101.27 96.18
Fractional positions:
Mg  0.126  0.874  0.750
Mg  0.136  0.864  0.250
Mg  0.864  0.136  0.750
Mg  0.874  0.126  0.250
Sc  0.054  0.497  0.769
Sc  0.218  0.259  0.076
Sc  0.259  0.218  0.576
Sc  0.338  0.591  0.470
Sc  0.409  0.662  0.030
Sc  0.497  0.054  0.269
Sc  0.503  0.946  0.731
Sc  0.591  0.338  0.970
Sc  0.662  0.409  0.530
Sc  0.741  0.782  0.424
Sc  0.782  0.741  0.924
Sc  0.946  0.503  0.231
O  0.337  0.406  0.872
O  0.406  0.337  0.372
O  0.594  0.663  0.628
O  0.663  0.594  0.128

Properties
D(E_F): 0.736 states/eV/atom
volume: 395 Å³ per cell
magnetization: 0.0 μB per formula unit

Record 3
Here is a relaxed structure of MgScO3 from Alexandria via LeMat-Bulk. Energies are from PBE-GGA.

abc: 3.745 3.745 3.745
angles: 90.00 90.00 90.00
Fractional positions:
Mg  0.000  0.000  0.000
Sc  0.500  0.500  0.500
O  0.000  0.000  0.500
O  0.000  0.500  0.000
O  0.500  0.000  0.000

Properties
D(E_F): 0.707 states/eV/atom
volume: 53 Å³ per cell
magnetization: 1.0 μB per formula unit

Record 4
Here is a relaxed structure of MgSc3O from Alexandria via LeMat-Bulk. Energies are from PBE-GGA.

abc: 5.575 5.711 6.446
angles: 69.60 87.22 78.33
Fractional positions:
Mg  0.000  0.000  0.000
Mg  0.251  0.479  0.878
Sc  0.257  0.494  0.371
Sc  0.478  0.984  0.744
Sc  0.523  0.001  0.259
Sc  0.742  0.473  0.621
Sc  0.761  0.506  0.135
Sc  0.981  0.966  0.503
O  0.622  0.242  0.440
O  0.891  0.728  0.319

Properties
D(E_F): 0.809 states/eV/atom
volume: 188 Å³ per cell
magnetization: 0.0 μB per formula unit

Record 5
Here is a relaxed structure of MgSc3O from Alexandria via LeMat-Bulk. Energies are from PBE-GGA.

abc: 5.271 6.528 5.831
angles: 90.00 90.07 90.00
Fractional positions:
Mg  0.000  0.000  0.000
Mg  0.492  0.000  0.650
Sc  0.000  0.254  0.479
Sc  0.000  0.746  0.479
Sc  0.012  0.500  0.013
Sc  0.494  0.257  0.173
Sc  0.494  0.743  0.173
Sc  0.514  0.500  0.645
O  0.253  0.500  0.334
O  0.901  0.500  0.687

Properties
D(E_F): 0.885 states/eV/atom
volume: 201 Å³ per cell
magnetization: 0.0 μB per formula unit

Record 6
Here is a relaxed structure of MgSc3O from Alexandria via LeMat-Bulk. Energies are from PBE-GGA.

abc: 6.413 6.413 5.582
angles: 107.23 107.23 60.03
Fractional positions:
Mg  0.000  0.000  0.000
Mg  0.246  0.246  0.508
Sc  0.253  0.745  0.495
Sc  0.492  0.492  0.971
Sc  0.508  0.982  0.015
Sc  0.745  0.253  0.495
Sc  0.748  0.748  0.513
Sc  0.982  0.508  0.015
O  0.621  0.621  0.741
O  0.874  0.874  0.289

Properties
D(E_F): 0.792 states/eV/atom
volume: 187 Å³ per cell
magnetization: 0.0 μB per formula unit

Values of formation energy without anion corrections, in order: -0.935; -1.050; -1.898; -1.149; -1.156; -1.165, all in eV per atom.